Entry 1:
## MgTaAg2 (PBE-GGA)

Data for a geometry-optimized MgTaAg2 structure.

Values from the calculation:
As for the calculated formation energy: 0.26 eV per atom. The value obtained for the density of states at the Fermi level is 2.741 states/eV/f.u.

abc: 2.853 4.244 6.011
angles: 90.00 90.00 90.00
Sites, in units of the cell vectors:
1 Mg 0.000 0.000 0.000
2 Ta 0.500 0.500 0.282
3 Ag 0.000 0.000 0.510
4 Ag 0.500 0.500 0.778

Entry 2:
## MgTaAg (PBE-GGA)

Data for a geometry-optimized MgTaAg structure.

Values from the calculation:
As for the calculated formation energy: 0.80 eV per atom. The value obtained for the density of states at the Fermi level is 1.632 states/eV/f.u.

abc: 4.766 4.766 5.639
angles: 90.00 90.00 120.00
Sites, in units of the cell vectors:
1 Mg 0.333 0.667 0.250
2 Mg 0.667 0.333 0.750
3 Ta 0.333 0.667 0.750
4 Ta 0.667 0.333 0.250
5 Ag 0.000 0.000 0.000
6 Ag 0.000 0.000 0.500

Entry 3:
## MgTaAg (PBE-GGA)

Data for a geometry-optimized MgTaAg structure.

Values from the calculation:
As for the calculated formation energy: 0.10 eV per atom. The value obtained for the density of states at the Fermi level is 2.113 states/eV/f.u.

abc: 4.539 3.241 7.686
angles: 90.00 102.06 90.00
Sites, in units of the cell vectors:
1 Mg 0.131 0.250 0.178
2 Mg 0.869 0.750 0.822
3 Ta 0.258 0.750 0.519
4 Ta 0.742 0.250 0.481
5 Ag 0.376 0.250 0.841
6 Ag 0.624 0.750 0.159

Entry 4:
## MgTaAg2 (PBE-GGA)

Data for a geometry-optimized MgTaAg2 structure.

Values from the calculation:
As for the calculated formation energy: 0.39 eV per atom. The value obtained for the density of states at the Fermi level is 3.521 states/eV/f.u.

abc: 2.857 5.032 5.169
angles: 90.00 90.00 90.00
Sites, in units of the cell vectors:
1 Mg 0.000 0.000 0.000
2 Ta 0.500 0.000 0.500
3 Ag 0.000 0.500 0.500
4 Ag 0.500 0.500 0.000